A plane-wave DFT calculation with PBE was carried out for a geometry-optimized Pr3Tl2Zn structure.

Cell lengths 3.792, 3.792, 12.019 Å; angles 90.00, 90.00, 90.00 degrees
Positions (direct):
Pr  0.000  0.000  0.000
Pr  0.000  0.000  0.353
Pr  0.000  0.000  0.647
Zn  0.500  0.500  0.500
Tl  0.500  0.500  0.178
Tl  0.500  0.500  0.822

Values from the calculation:
energy of formation	-0.3679	eV per atom
symmetry	P4/mmm (123)
VASP energy	-0.2763	Ry/atom
energy relative to the lowest polymorph listed for this composition	0	kJ/mol of formula units
DOS(E_F)	0.913	states/eV/atom